1.
Compound: ZrTiGa
Source: Alexandria
Functional: PBE-GGA
Structure: optimized geometry

Summary:
As for the crystal system: tetragonal. The value obtained for the final energy is -6.940 eV per atom. The energy above the most stable polymorph in this dataset comes out at 0.0 meV/atom. The volume comes out at 113 Å³ per cell. For the energy relative to the elements, the calculation gives -0.45 eV/atom.

abc: 3.898 3.898 7.424
angles: 90.00 90.00 90.00
Space group P4/nmm (No. 129, origin choice 2)
Inequivalent atoms, fractional coordinates:
Zr: 0.250 0.250 0.150 [2 per cell]
Ti: 0.250 0.750 0.500 [2 per cell]
Ga: 0.250 0.250 0.764 [2 per cell]

***

2.
Compound: BaPm2Si6
Source: Alexandria
Functional: PBE-GGA
Structure: optimized geometry

Summary:
As for the crystal system: orthorhombic. The value obtained for the final energy is -5.274 eV per atom. The volume comes out at 434 Å³ per cell. As for the uncorrected formation energy: -389 meV/atom.

abc: 4.150 9.182 11.383
angles: 90.00 90.00 90.00
Space group Immm (No. 71)
Inequivalent atoms, fractional coordinates:
Ba: 0.000 0.000 0.000 [2 per cell]
Pm: 0.000 0.500 0.156 [4 per cell]
Si: 0.000 0.144 0.500 [4 per cell]
Si: 0.000 0.253 0.313 [8 per cell]

***

3.
Compound: InTe
Source: Alexandria
Functional: PBE-GGA
Structure: optimized geometry

Summary:
As for the crystal system: orthorhombic. The value obtained for the final energy is -2.962 eV per atom. The volume comes out at 122 Å³ per cell. As for the uncorrected formation energy: -22 meV/atom.

abc: 4.597 4.610 5.752
angles: 90.00 90.00 90.00
Space group Cmmm (No. 65)
Inequivalent atoms, fractional coordinates:
In: 0.000 0.000 0.000 [2 per cell]
Te: 0.000 0.500 0.500 [2 per cell]

***

4.
Compound: YInAg2As
Source: Alexandria
Functional: PBE-GGA
Structure: optimized geometry

Summary:
As for the crystal system: tetragonal. The value obtained for the final energy is -2.845 eV per atom. The volume comes out at 174 Å³ per cell. For the energy relative to the elements, the calculation gives 1.07 eV/atom.

abc: 5.422 5.422 5.904
angles: 90.00 90.00 90.00
Space group P4/mmm (No. 123)
Inequivalent atoms, fractional coordinates:
Y: 0.000 0.000 0.000 [1 per cell]
In: 0.000 0.000 0.500 [1 per cell]
Ag: 0.000 0.500 0.000 [2 per cell]
As: 0.500 0.500 0.500 [1 per cell]

***

5.
Compound: GaMo3W
Source: Alexandria
Functional: PBE-GGA
Structure: optimized geometry

Summary:
As for the crystal system: cubic. The value obtained for the final energy is -7.937 eV per atom. The energy above the most stable polymorph in this dataset comes out at 96.3 meV/atom. The volume comes out at 108 Å³ per cell. For the energy relative to the elements, the calculation gives 1.76 eV/atom.

abc: 4.764 4.764 4.764
angles: 90.00 90.00 90.00
Space group Pm-3m (No. 221)
Inequivalent atoms, fractional coordinates:
Ga: 0.000 0.000 0.000 [1 per cell]
Mo: 0.000 0.500 0.500 [3 per cell]
W: 0.500 0.500 0.500 [1 per cell]

***

6.
Compound: Al2PbBr
Source: Alexandria
Functional: PBE-GGA
Structure: optimized geometry

Summary:
As for the crystal system: trigonal. The value obtained for the final energy is -3.052 eV per atom. The energy above the most stable polymorph in this dataset comes out at 247.6 meV/atom. The volume comes out at 300 Å³ per cell. As for the uncorrected formation energy: 165 meV/atom.

abc: 3.5747 3.5747 27.1102
angles: 90.00 90.00 120.00
Space group R-3m (No. 166, hexagonal axes)
Inequivalent atoms, fractional coordinates:
Al: 0.0000 0.0000 0.2459 [6 per cell]
Pb: 0.0000 0.0000 0.0000 [3 per cell]
Br: 0.0000 0.0000 0.5000 [3 per cell]

***

7.
Compound: RbPm3Ag2Se6
Source: Alexandria
Functional: PBE-GGA
Structure: optimized geometry

Summary:
As for the crystal system: monoclinic. The value obtained for the final energy is -4.829 eV per atom. The volume comes out at 788 Å³ per cell. As for the uncorrected formation energy: -1344 meV/atom.

abc: 21.173 4.358 9.205
angles: 90.00 111.90 90.00
Space group C2/m (No. 12)
Inequivalent atoms, fractional coordinates:
Rb: 0.000 0.000 0.000 [2 per cell]
Pm: 0.000 0.000 0.500 [2 per cell]
Pm: 0.164 0.500 0.814 [4 per cell]
Ag: 0.223 0.500 0.222 [4 per cell]
Se: 0.019 0.500 0.729 [4 per cell]
Se: 0.150 0.000 0.589 [4 per cell]
Se: 0.177 0.000 0.059 [4 per cell]

***

8.
Compound: ScZnPt3
Source: Alexandria
Functional: PBE-GGA
Structure: optimized geometry

Summary:
As for the crystal system: orthorhombic. The value obtained for the final energy is -5.721 eV per atom. The energy above the most stable polymorph in this dataset comes out at 0.0 meV/atom. The volume comes out at 350 Å³ per cell. For the energy relative to the elements, the calculation gives -0.58 eV/atom.

abc: 6.438 11.137 4.880
angles: 90.00 90.00 90.00
Space group Cmcm (No. 63)
Inequivalent atoms, fractional coordinates:
Sc: 0.000 0.166 0.250 [4 per cell]
Zn: 0.000 0.500 0.000 [4 per cell]
Pt: 0.000 0.304 0.750 [4 per cell]
Pt: 0.206 0.098 0.750 [8 per cell]

***

9.
Compound: SrInAu3
Source: Alexandria
Functional: PBE-GGA
Structure: optimized geometry

Summary:
As for the crystal system: orthorhombic. The value obtained for the final energy is -3.175 eV per atom. The energy above the most stable polymorph in this dataset comes out at 154.6 meV/atom. The volume comes out at 271 Å³ per cell. For the energy relative to the elements, the calculation gives -0.32 eV/atom.

abc: 6.042 7.868 5.702
angles: 90.00 90.00 90.00
Space group Pbam (No. 55)
Inequivalent atoms, fractional coordinates:
Sr: 0.000 0.000 0.000 [2 per cell]
In: 0.000 0.500 0.500 [2 per cell]
Au: 0.000 0.500 0.000 [2 per cell]
Au: 0.088 0.163 0.500 [4 per cell]

***

10.
Compound: P4Ir5
Source: Alexandria
Functional: PBE-GGA
Structure: optimized geometry

Summary:
As for the crystal system: tetragonal. The value obtained for the final energy is -7.270 eV per atom. The energy above the most stable polymorph in this dataset comes out at 0.0 meV/atom. The volume comes out at 311 Å³ per cell. For the energy relative to the elements, the calculation gives 0.06 eV/atom.

abc: 10.547 10.547 2.799
angles: 90.00 90.00 90.00
Space group I4/mmm (No. 139)
Inequivalent atoms, fractional coordinates:
P: 0.000 0.250 0.000 [8 per cell]
Ir: 0.000 0.000 0.000 [2 per cell]
Ir: 0.172 0.172 0.500 [8 per cell]

***

11.
Compound: CaNdPBr
Source: Alexandria
Functional: PBE-GGA
Structure: optimized geometry

Summary:
As for the crystal system: trigonal. The value obtained for the final energy is -4.923 eV per atom. The volume comes out at 329 Å³ per cell. As for the uncorrected formation energy: -1460 meV/atom.

abc: 4.1249 4.1249 22.3097
angles: 90.00 90.00 120.00
Space group R3m (No. 160, hexagonal axes)
Inequivalent atoms, fractional coordinates:
Ca: 0.0000 0.0000 0.0000 [3 per cell]
Nd: 0.0000 0.0000 0.8029 [3 per cell]
P: 0.0000 0.0000 0.3993 [3 per cell]
Br: 0.0000 0.0000 0.5710 [3 per cell]

***

12.
Compound: Si2PdRh2
Source: Alexandria
Functional: PBE-GGA
Structure: optimized geometry

Summary:
As for the crystal system: tetragonal. The value obtained for the final energy is -6.591 eV per atom. The energy above the most stable polymorph in this dataset comes out at 285.1 meV/atom. The volume comes out at 150 Å³ per cell. As for the uncorrected formation energy: -443 meV/atom.

abc: 3.650 3.650 11.287
angles: 90.00 90.00 90.00
Space group I4/mmm (No. 139)
Inequivalent atoms, fractional coordinates:
Si: 0.000 0.500 0.250 [4 per cell]
Pd: 0.000 0.000 0.000 [2 per cell]
Rh: 0.000 0.000 0.382 [4 per cell]

***

13.
Compound: CoAuBr6
Source: Alexandria
Functional: PBE-GGA
Structure: optimized geometry

Summary:
As for the crystal system: monoclinic. The value obtained for the final energy is -2.687 eV per atom. The volume comes out at 563 Å³ per cell. As for the uncorrected formation energy: -134 meV/atom.

abc: 7.618 10.279 7.455
angles: 90.00 105.47 90.00
Space group C2/m (No. 12)
Inequivalent atoms, fractional coordinates:
Co: 0.000 0.000 0.000 [2 per cell]
Au: 0.000 0.000 0.500 [2 per cell]
Br: 0.017 0.168 0.743 [8 per cell]
Br: 0.185 0.500 0.896 [4 per cell]